Density functional theory data (PBE) for crystalline RbPa2Cl2O5 at its relaxed geometry.

Results
Spin magnetization in μB/f.u.: 1.0
V in Å³/cell: 355
VASP energy in eV/atom: -7.40

Cell lengths 10.296, 10.296, 3.352 Å; angles 90.00, 90.00, 90.00 degrees
Space group P4/mbm (No. 127)
Symmetry-distinct sites (fractional):
Rb1 0.000 0.000 0.000 x2
Pa1 0.136 0.364 0.000 x4
Cl1 0.161 0.661 0.000 x4
O1 0.000 0.500 0.500 x2
O2 0.081 0.244 0.500 x8